Record 1
Material: Sc11Tl9Pt4
Method: DFT, PBE-GGA
State: optimized geometry

**Space group**: No. 65
**V**: 21.8 Å³ per atom
**Magnetic moment**: 0.64 μB/cell
**Calculated formation energy**: -0.609 eV per atom

a b c (Å): 3.4385 12.8384 12.8384
angles (deg): 112.40 90.00 90.00
Last column: nearest neighbours and their distance in Å.
Sites, in units of the cell vectors:
Sc  0.0000  0.3083  0.3083  4 Pt 2.82
Sc  0.0000  0.0000  0.0000  8 Tl 3.07, 4 Sc 3.39-3.44
Sc  0.0000  0.1587  0.8413  8 Tl 3.13-3.19, 3 Sc 3.39-3.44
Sc  0.0000  0.8413  0.1587  8 Tl 3.13-3.19, 3 Sc 3.39-3.44
Sc  0.0000  0.6917  0.6917  4 Pt 2.82
Sc  0.0000  0.6293  0.3707  4 Pt 2.82
Sc  0.0000  0.0769  0.4166  2 Pt 2.70
Sc  0.0000  0.5834  0.9231  2 Pt 2.70
Sc  0.0000  0.9231  0.5834  2 Pt 2.70
Sc  0.0000  0.4166  0.0769  2 Pt 2.70
Sc  0.0000  0.3707  0.6293  4 Pt 2.82
Pt  0.5000  0.7515  0.5495  6 Sc 2.70-2.82
Pt  0.5000  0.2485  0.4505  6 Sc 2.70-2.82
Pt  0.5000  0.4505  0.2485  6 Sc 2.70-2.82
Pt  0.5000  0.5495  0.7515  6 Sc 2.70-2.82
Tl  0.5000  0.3671  0.8539  1 Pt 3.09, 8 Sc 3.09-3.37, 3 Tl 3.16-3.44
Tl  0.5000  0.1461  0.6329  1 Pt 3.09, 8 Sc 3.09-3.37, 3 Tl 3.16-3.44
Tl  0.5000  0.0651  0.2140  1 Pt 3.05, 8 Sc 3.07-3.36, 1 Tl 3.18
Tl  0.5000  0.7860  0.9349  1 Pt 3.05, 8 Sc 3.07-3.36, 1 Tl 3.18
Tl  0.5000  0.8539  0.3671  1 Pt 3.09, 8 Sc 3.09-3.37, 3 Tl 3.16-3.44
Tl  0.5000  0.2140  0.0651  1 Pt 3.05, 8 Sc 3.07-3.36, 1 Tl 3.18
Tl  0.5000  0.9349  0.7860  1 Pt 3.05, 8 Sc 3.07-3.36, 1 Tl 3.18
Tl  0.5000  0.5000  0.5000  4 Pt 3.04, 8 Sc 3.23-3.25
Tl  0.5000  0.6329  0.1461  1 Pt 3.09, 8 Sc 3.09-3.37, 3 Tl 3.16-3.44



Record 2
Material: Sm2Y6Zr
Method: DFT, PBE-GGA
State: optimized geometry

**Space group**: No. 15
**V**: 31.5 Å³ per atom
**Magnetic moment**: 0.00 μB/cell
**Calculated formation energy**: 0.094 eV per atom

a b c (Å): 10.1278 10.1278 6.6674
angles (deg): 83.50 83.50 121.42
Last column: nearest neighbours and their distance in Å.
Sites, in units of the cell vectors:
Y  0.0119  0.2904  0.8462  2 Sm 3.35-3.62, 2 Zr 3.35-3.45, 6 Y 3.42-3.58
Y  0.3086  0.6213  0.0088  5 Y 3.25-3.54, 2 Sm 3.38-3.57
Y  0.9589  0.3564  0.3314  7 Y 3.25-3.58, 1 Sm 3.48, 1 Zr 3.59
Y  0.7096  0.9881  0.6538  2 Sm 3.35-3.62, 2 Zr 3.35-3.45, 6 Y 3.42-3.58
Y  0.2904  0.0119  0.3462  2 Sm 3.35-3.62, 2 Zr 3.35-3.45, 6 Y 3.42-3.58
Y  0.3787  0.6914  0.4912  5 Y 3.25-3.54, 2 Sm 3.38-3.57
Y  0.6213  0.3086  0.5088  5 Y 3.25-3.54, 2 Sm 3.38-3.57
Y  0.0411  0.6436  0.6686  7 Y 3.25-3.58, 1 Sm 3.48, 1 Zr 3.59
Y  0.9881  0.7096  0.1538  2 Sm 3.35-3.62, 2 Zr 3.35-3.45, 6 Y 3.42-3.58
Y  0.6436  0.0411  0.1686  7 Y 3.25-3.58, 1 Sm 3.48, 1 Zr 3.59
Y  0.6914  0.3787  0.9912  5 Y 3.25-3.54, 2 Sm 3.38-3.57
Y  0.3564  0.9589  0.8314  7 Y 3.25-3.58, 1 Sm 3.48, 1 Zr 3.59
Sm  0.3323  0.2817  0.9009  6 Y 3.35-3.71, 2 Zr 3.42-3.48, 2 Sm 3.45
Sm  0.6677  0.7183  0.0991  6 Y 3.35-3.71, 2 Zr 3.42-3.48, 2 Sm 3.45
Sm  0.2817  0.3323  0.4009  6 Y 3.35-3.71, 2 Zr 3.42-3.48, 2 Sm 3.45
Sm  0.7183  0.6677  0.5991  6 Y 3.35-3.71, 2 Zr 3.42-3.48, 2 Sm 3.45
Zr  0.9778  0.0222  0.2500  6 Y 3.35-3.59, 4 Sm 3.42-3.48, 2 Zr 3.42
Zr  0.0222  0.9778  0.7500  6 Y 3.35-3.59, 4 Sm 3.42-3.48, 2 Zr 3.42



Record 3
Material: LaZnRe2
Method: DFT, PBE-GGA
State: optimized geometry

**Space group**: No. 99
**V**: 18.9 Å³ per atom
**Magnetic moment**: 0.00 μB/cell
**Calculated formation energy**: 0.085 eV per atom

a b c (Å): 3.1174 3.1174 7.7905
angles (deg): 90.00 90.00 90.00
Last column: nearest neighbours and their distance in Å.
Sites, in units of the cell vectors:
Re  0.0000  0.0000  0.0596  4 Re 2.60
Re  0.5000  0.5000  0.2360  4 Re 2.60, 4 Zn 2.74
La  0.5000  0.5000  0.7586  4 La 3.12, 4 Re 3.22, 4 Zn 3.29
Zn  0.0000  0.0000  0.4457  5 Re 2.74-3.01



Record 4
Material: PmDy3Tm6
Method: DFT, PBE-GGA
State: optimized geometry

**Space group**: No. 36
**V**: 31.4 Å³ per atom
**Magnetic moment**: 0.00 μB/cell
**Energy relative to the lowest polymorph listed for this composition**: 0.0 meV per atom
**Calculated formation energy**: 0.148 eV per atom

a b c (Å): 6.1338 10.8540 10.8540
angles (deg): 119.61 90.00 90.00
Last column: nearest neighbours and their distance in Å.
Sites, in units of the cell vectors:
Pm  0.6597  0.7913  0.2087  7 Tm 3.24-3.51, 3 Dy 3.24-3.47
Pm  0.1597  0.2087  0.7913  7 Tm 3.24-3.51, 3 Dy 3.24-3.47
Tm  0.6399  0.2873  0.7127  4 Tm 3.25-3.33, 1 Dy 3.29, 2 Pm 3.29-3.51
Tm  0.0271  0.7128  0.6174  6 Tm 3.37-3.72, 4 Dy 3.37-3.52
Tm  0.9177  0.0478  0.9522  1 Pm 3.37, 4 Dy 3.50-3.58, 4 Tm 3.55-3.72
Tm  0.8639  0.9655  0.5432  2 Pm 3.24-3.40, 2 Dy 3.25-3.55, 5 Tm 3.25-3.40
Tm  0.0271  0.3826  0.2872  6 Tm 3.37-3.72, 4 Dy 3.37-3.52
Tm  0.5271  0.6174  0.7128  6 Tm 3.37-3.72, 4 Dy 3.37-3.52
Tm  0.4177  0.9522  0.0478  1 Pm 3.37, 4 Dy 3.50-3.58, 4 Tm 3.55-3.72
Tm  0.5271  0.2872  0.3826  6 Tm 3.37-3.72, 4 Dy 3.37-3.52
Tm  0.8639  0.4568  0.0345  2 Pm 3.24-3.40, 2 Dy 3.25-3.55, 5 Tm 3.25-3.40
Tm  0.1399  0.7127  0.2873  4 Tm 3.25-3.33, 1 Dy 3.29, 2 Pm 3.29-3.51
Tm  0.3639  0.0345  0.4568  2 Pm 3.24-3.40, 2 Dy 3.25-3.55, 5 Tm 3.25-3.40
Tm  0.3639  0.5432  0.9655  2 Pm 3.24-3.40, 2 Dy 3.25-3.55, 5 Tm 3.25-3.40
Dy  0.4578  0.2819  0.0658  1 Pm 3.24, 6 Tm 3.25-3.58, 1 Dy 3.63
Dy  0.9578  0.7181  0.9342  1 Pm 3.24, 6 Tm 3.25-3.58, 1 Dy 3.63
Dy  0.0704  0.3915  0.6085  5 Tm 3.29-3.52, 1 Pm 3.47, 2 Dy 3.63
Dy  0.5704  0.6085  0.3915  5 Tm 3.29-3.52, 1 Pm 3.47, 2 Dy 3.63
Dy  0.9578  0.0658  0.2819  1 Pm 3.24, 6 Tm 3.25-3.58, 1 Dy 3.63
Dy  0.4578  0.9342  0.7181  1 Pm 3.24, 6 Tm 3.25-3.58, 1 Dy 3.63



Record 5
Material: Sc4GaAuC
Method: DFT, PBE-GGA
State: optimized geometry

**Space group**: No. 63
**V**: 19.7 Å³ per atom
**Magnetic moment**: 0.00 μB/cell
**Calculated formation energy**: -0.542 eV per atom

a b c (Å): 6.3059 6.3221 7.6082
angles (deg): 90.00 114.48 90.00
Last column: nearest neighbours and their distance in Å.
Sites, in units of the cell vectors:
C  0.7510  0.2500  0.5019  6 Sc 2.23-2.32
C  0.2490  0.7500  0.4981  6 Sc 2.23-2.32
Ga  0.8803  0.7500  0.7606  5 Sc 2.79-2.87
Ga  0.1197  0.2500  0.2394  5 Sc 2.79-2.87
Sc  0.5000  0.5000  0.5000  2 C 2.23
Sc  0.5832  0.2500  0.1665  1 C 2.32
Sc  0.4168  0.7500  0.8335  1 C 2.32
Sc  0.0819  0.7500  0.1638  1 C 2.31
Sc  0.5000  0.0000  0.5000  2 C 2.23
Sc  0.9181  0.2500  0.8362  1 C 2.31
Sc  0.0000  0.5000  0.5000  2 C 2.23
Sc  0.0000  0.0000  0.5000  2 C 2.23
Au  0.3859  0.2500  0.7718  5 Sc 2.73-2.92
Au  0.6141  0.7500  0.2282  5 Sc 2.73-2.92



Record 6
Material: Tl2CrW
Method: DFT, PBE-GGA
State: optimized geometry

**Space group**: No. 123
**V**: 19.4 Å³ per atom
**Magnetic moment**: 2.79 μB/cell
**Energy relative to the lowest polymorph listed for this composition**: 442.6 meV per atom
**Calculated formation energy**: 1.043 eV per atom

a b c (Å): 4.1894 4.3058 4.3058
angles (deg): 90.00 90.00 90.00
Last column: nearest neighbours and their distance in Å.
Sites, in units of the cell vectors:
Cr  0.5000  0.0000  0.5000  8 Tl 3.00, 4 W 3.04
Tl  0.0000  0.0000  0.0000  4 Cr 3.00, 4 W 3.00, 4 Tl 3.04
Tl  0.0000  0.5000  0.5000  4 Cr 3.00, 4 W 3.00, 4 Tl 3.04
W  0.5000  0.5000  0.0000  8 Tl 3.00, 4 Cr 3.04



Record 7
Material: CaTiMn2
Method: DFT, PBE-GGA
State: optimized geometry

**Space group**: No. 225
**V**: 18.3 Å³ per atom
**Magnetic moment**: 4.55 μB/cell
**Energy relative to the lowest polymorph listed for this composition**: 0.0 meV per atom
**Calculated formation energy**: 0.461 eV per atom

a b c (Å): 4.6982 4.6982 4.6982
angles (deg): 60.00 60.00 60.00
Last column: nearest neighbours and their distance in Å.
Sites, in units of the cell vectors:
Mn  0.7500  0.7500  0.7500  4 Ti 2.88, 4 Ca 2.88
Mn  0.2500  0.2500  0.2500  4 Ca 2.88, 4 Ti 2.88
Ca  0.0000  0.0000  0.0000  8 Mn 2.88
Ti  0.5000  0.5000  0.5000  8 Mn 2.88



Record 8
Material: NbAl2BCl
Method: DFT, PBE-GGA
State: optimized geometry

**Space group**: No. 123
**V**: 16.7 Å³ per atom
**Formation energy (no corrections)**: 1.230 eV per atom
**Magnetic moment**: 0.00 μB/cell

a b c (Å): 4.5860 3.9675 4.5860
angles (deg): 90.00 90.00 90.00
Last column: nearest neighbours and their distance in Å.
Sites, in units of the cell vectors:
Nb  0.5000  0.5000  0.5000  8 Al 3.03, 4 B 3.24
Al  0.5000  0.0000  0.0000  2 Cl 2.29
Al  0.0000  0.0000  0.5000  2 Cl 2.29
B  0.0000  0.5000  0.0000  2 Cl 1.98
Cl  0.0000  0.0000  0.0000  2 B 1.98



Record 9
Material: Hf3TlF
Method: DFT, PBE-GGA
State: optimized geometry

**Space group**: No. 221
**V**: 19.2 Å³ per atom
**Formation energy (no corrections)**: -0.297 eV per atom
**Magnetic moment**: 0.00 μB/cell
**Energy relative to the lowest polymorph listed for this composition**: 0.0 meV per atom

a b c (Å): 4.5810 4.5810 4.5810
angles (deg): 90.00 90.00 90.00
Last column: nearest neighbours and their distance in Å.
Sites, in units of the cell vectors:
Hf  0.0000  0.5000  0.0000  2 F 2.29
Hf  0.0000  0.0000  0.5000  2 F 2.29
Hf  0.5000  0.0000  0.0000  2 F 2.29
Tl  0.5000  0.5000  0.5000  12 Hf 3.24
F  0.0000  0.0000  0.0000  6 Hf 2.29



Q: Which formula does entry 2 have?
A: Sm2Y6Zr



Q: Number 3 is which compound?
A: LaZnRe2



Q: Look up the magnetic moment of the first one.
A: 0.64 μB/cell